The following is a PBE calculation of crystalline Rb2YCrN at its relaxed geometry, from Alexandria.

Cell lengths 6.5607, 6.5607, 5.3549 Å; angles 90.00, 90.00, 90.00 degrees
Site moments in Bohr magnetons follow the coordinates.
Sites, in units of the cell vectors:
Rb (0.0000, 0.5000, 0.0000)  0.00
Rb (0.5000, 0.0000, 0.0000)  0.00
Y (0.0000, 0.0000, 0.5000)  -0.36
Cr (0.0000, 0.0000, 0.0000)  3.41
N (0.5000, 0.5000, 0.5000)  1.33

Density of states at the Fermi level in states/eV per cell: 5.10
Total magnetic moment in Bohr magnetons per cell: 4.9
E_form (uncorrected) in eV/f.u.: 8.86
V in Å³ per atom: 46.10
Calculated total energy in eV/cell: -17.49

***

The following is a PBE calculation of crystalline Tb2ErTe at its relaxed geometry, from Alexandria.

Cell lengths 3.8468, 3.8468, 10.1736 Å; angles 79.10, 79.10, 60.00 degrees
Sites, in units of the cell vectors:
Te (0.0000, 0.0000, 0.0000)
Tb (0.7392, 0.7392, 0.7824)
Tb (0.2608, 0.2608, 0.2176)
Er (0.5000, 0.5000, 0.5000)

Density of states at the Fermi level in states/eV per cell: 4.04
Total magnetic moment in Bohr magnetons per cell: 0.0
Distance to the lowest polymorph of the same formula in eV/atom: 0.135
E_form (uncorrected) in eV/f.u.: -2.06
V in Å³ per atom: 31.81
Calculated total energy in eV/cell: -19.03

***

The following is a PBE calculation of crystalline ReHgAs2 at its relaxed geometry, from Alexandria.

Cell lengths 3.0655, 3.0649, 8.8911 Å; angles 90.00, 90.00, 90.00 degrees
Sites, in units of the cell vectors:
As (0.0000, 0.0000, 0.9203)
As (0.0000, 0.0000, 0.5797)
Hg (0.5000, 0.5000, 0.2500)
Re (0.5000, 0.5000, 0.7500)

DFT formation energy in eV/atom: 0.082
Density of states at the Fermi level in states/eV per cell: 1.76
Total magnetic moment in Bohr magnetons per cell: 0.0
V in Å³ per atom: 20.88
Calculated total energy in eV/cell: -21.72

***

The following is a PBE calculation of crystalline BiAsS at its relaxed geometry, from Alexandria.

Cell lengths 4.1449, 4.1449, 4.8912 Å; angles 90.00, 90.00, 120.00 degrees
Sites, in units of the cell vectors:
As (0.0000, 0.0000, 0.0113)
Bi (0.3333, 0.6667, 0.6699)
S (0.6667, 0.3333, 0.3188)

Density of states at the Fermi level in states/eV per cell: 1.99
Total magnetic moment in Bohr magnetons per cell: 0.0
Distance to the lowest polymorph of the same formula in eV/atom: 0.187
E_form (uncorrected) in eV/f.u.: 0.47
V in Å³ per atom: 24.26
Calculated total energy in eV/cell: -12.19

***

The following is a PBE calculation of crystalline CaFeSe3 at its relaxed geometry, from Alexandria.

Cell lengths 5.3643, 5.3643, 5.3643 Å; angles 90.00, 90.00, 90.00 degrees
Site moments in Bohr magnetons follow the coordinates.
Sites, in units of the cell vectors:
Se (0.0000, 0.0000, 0.5000)  0.29
Se (0.5000, 0.0000, 0.0000)  0.30
Se (0.0000, 0.5000, 0.0000)  0.37
Fe (0.5000, 0.5000, 0.5000)  0.14
Ca (0.0000, 0.0000, 0.0000)  0.00

Density of states at the Fermi level in states/eV per cell: 15.24
Total magnetic moment in Bohr magnetons per cell: 1.6
Distance to the lowest polymorph of the same formula in eV/atom: 1.302
E_form (uncorrected) in eV/f.u.: 4.45
V in Å³ per atom: 30.87
Calculated total energy in eV/cell: -16.47

***

The following is a PBE calculation of crystalline NaPr2Os at its relaxed geometry, from Alexandria.

Cell lengths 3.5186, 3.5186, 9.7704 Å; angles 90.00, 90.00, 90.00 degrees
Sites, in units of the cell vectors:
Na (0.5000, 0.5000, 0.5000)
Pr (0.0000, 0.0000, 0.8223)
Pr (0.0000, 0.0000, 0.1777)
Os (0.5000, 0.5000, 0.0000)

DFT formation energy in eV/atom: 0.030
Density of states at the Fermi level in states/eV per cell: 2.69
Total magnetic moment in Bohr magnetons per cell: 0.0
Distance to the lowest polymorph of the same formula in eV/atom: 0.000
V in Å³ per atom: 30.24
Calculated total energy in eV/cell: -21.99

***

The following is a PBE calculation of crystalline ScTl2Br4 at its relaxed geometry, from Alexandria.

Cell lengths 5.3582, 5.3582, 9.2845 Å; angles 73.23, 73.23, 90.00 degrees
Site moments in Bohr magnetons follow the coordinates.
Sites, in units of the cell vectors:
Tl (0.6452, 0.6452, 0.7095)  0.01
Tl (0.3548, 0.3548, 0.2905)  0.01
Sc (0.0000, 0.0000, 0.0000)  0.60
Br (0.8369, 0.8369, 0.3261)  0.00
Br (0.0000, 0.5000, 0.0000)  -0.01
Br (0.5000, 0.0000, 0.0000)  -0.01
Br (0.1631, 0.1631, 0.6739)  0.00

Density of states at the Fermi level in states/eV per cell: 4.41
Total magnetic moment in Bohr magnetons per cell: 0.9
E_form (uncorrected) in eV/f.u.: -7.53
V in Å³ per atom: 34.76
Calculated total energy in eV/cell: -25.28

***

The following is a PBE calculation of crystalline MnTlCl at its relaxed geometry, from Alexandria.

Cell lengths 7.7659, 7.7659, 7.7659 Å; angles 156.02, 156.02, 34.16 degrees
Site moments in Bohr magnetons follow the coordinates.
Sites, in units of the cell vectors:
Mn (0.3547, 0.3547, 0.0000)  4.07
Tl (0.7020, 0.7020, 0.0000)  -0.01
Cl (0.9433, 0.9433, 0.0000)  0.09

Density of states at the Fermi level in states/eV per cell: 2.39
Total magnetic moment in Bohr magnetons per cell: 4.4
Distance to the lowest polymorph of the same formula in eV/atom: 0.081
E_form (uncorrected) in eV/f.u.: -0.25
V in Å³ per atom: 25.75
Calculated total energy in eV/cell: -13.63